Computed, not measured: a relaxed structure of BeRhW2 at the PBE level of DFT.

Energy relative to the elements in eV per atom: 0.1360
Space group: R3m
Final energy in eV per atom: -9.110
Magnetization in μB per formula unit: 0.00

abc: 8.576 8.576 8.576
angles: 18.69 18.69 18.69
Sites, in units of the cell vectors:
W: 0.241 0.241 0.241
W: 0.005 0.005 0.005
Rh: 0.759 0.759 0.759
Be: 0.495 0.495 0.495